The following is a GGA-PBE calculation of a relaxed structure of AlFe2Au2, from the Alexandria database.

Calculated values
energy relative to the elements = 127 meV/atom
N(E_F) = 0.78 states/eV per atom
electronic total energy = -0.195 hartree per atom
space-group type = P4/mbm

The structure in extended XYZ format:
```
10
Lattice="6.3060 0.0000 0.0000 0.0000 6.3060 0.0000 0.0000 0.0000 3.9132" Properties=species:S:1:pos:R:3 pbc="T T T"
Al 0.0000 0.0000 0.0000
Al 3.1530 3.1530 0.0000
Au 1.0600 4.2130 1.9566
Au 2.0930 1.0600 1.9566
Au 5.2460 2.0930 1.9566
Au 4.2130 5.2460 1.9566
Fe 5.5013 3.9577 0.0000
Fe 2.3483 5.5013 0.0000
Fe 0.8047 2.3483 0.0000
Fe 3.9577 0.8047 0.0000
```